Entry 1:
Below is an optimized crystal structure of PrDy5Pd2, with properties calculated at the PBE-GGA level.

* SG: Cmcm, No. 63
* total DFT energy (no corrections): -82.25 eV/cell

abc: 3.855 6.744 18.166
angles: 90.00 90.00 106.61
Sites, in units of the cell vectors:
1 Pr 0.650 0.300 0.750
2 Pr 0.350 0.700 0.250
3 Dy 0.946 0.893 0.899
4 Dy 0.946 0.893 0.601
5 Dy 0.345 0.689 0.457
6 Dy 0.345 0.689 0.043
7 Dy 0.615 0.229 0.250
8 Dy 0.385 0.771 0.750
9 Dy 0.655 0.311 0.543
10 Dy 0.655 0.311 0.957
11 Dy 0.054 0.107 0.101
12 Dy 0.054 0.107 0.399
13 Pd 0.740 0.479 0.375
14 Pd 0.740 0.479 0.125
15 Pd 0.260 0.521 0.625
16 Pd 0.260 0.521 0.875

***

Entry 2:
Below is an optimized crystal structure of PrDyPd, with properties calculated at the PBE-GGA level.

* SG: F-43m, No. 216
* total DFT energy (no corrections): -15.79 eV/cell
* offset from the most stable computed form: 148 meV/atom

abc: 4.990 4.990 4.990
angles: 60.00 60.00 60.00
Sites, in units of the cell vectors:
1 Pr 0.000 0.000 0.000
2 Pd 0.250 0.250 0.250
3 Dy 0.500 0.500 0.500

***

Entry 3:
Below is an optimized crystal structure of PrDyPd, with properties calculated at the PBE-GGA level.

* SG: I4mm, No. 107
* total DFT energy (no corrections): -16.07 eV/cell
* offset from the most stable computed form: 54 meV/atom

abc: 3.612 3.612 6.756
angles: 105.51 105.51 90.00
Sites, in units of the cell vectors:
1 Pr 0.022 0.022 0.045
2 Pd 0.680 0.680 0.359
3 Dy 0.298 0.298 0.596

***

Entry 4:
Below is an optimized crystal structure of PrDyPdPt, with properties calculated at the PBE-GGA level.

* SG: F-43m, No. 216
* total DFT energy (no corrections): -24.41 eV/cell
* offset from the most stable computed form: 76 meV/atom

abc: 5.053 5.053 5.053
angles: 60.00 60.00 60.00
Sites, in units of the cell vectors:
1 Pr 0.500 0.500 0.500
2 Pd 0.250 0.250 0.250
3 Pt 0.750 0.750 0.750
4 Dy 0.000 0.000 0.000

***

Entry 5:
Below is an optimized crystal structure of PrDyPdPt, with properties calculated at the PBE-GGA level.

* SG: Amm2, No. 38
* total DFT energy (no corrections): -24.71 eV/cell
* offset from the most stable computed form: 0 meV/atom

abc: 3.850 4.547 5.736
angles: 90.00 109.61 90.00
Sites, in units of the cell vectors:
1 Pr 0.139 0.000 0.277
2 Dy 0.865 0.500 0.729
3 Pd 0.585 0.500 0.170
4 Pt 0.412 0.000 0.824

***

Entry 6:
Below is an optimized crystal structure of PrDyPdRh, with properties calculated at the PBE-GGA level.

* SG: F-43m, No. 216
* total DFT energy (no corrections): -24.94 eV/cell
* offset from the most stable computed form: 40 meV/atom

abc: 5.005 5.005 5.005
angles: 60.00 60.00 60.00
Sites, in units of the cell vectors:
1 Pr 0.750 0.750 0.750
2 Rh 0.500 0.500 0.500
3 Pd 0.000 0.000 0.000
4 Dy 0.250 0.250 0.250

***

Entry 7:
Below is an optimized crystal structure of PrDyPdRh, with properties calculated at the PBE-GGA level.

* SG: Amm2, No. 38
* total DFT energy (no corrections): -25.10 eV/cell
* offset from the most stable computed form: 0 meV/atom

abc: 3.807 4.493 5.703
angles: 90.00 109.50 90.00
Sites, in units of the cell vectors:
1 Pr 0.144 0.000 0.287
2 Dy 0.865 0.500 0.730
3 Pd 0.582 0.500 0.164
4 Rh 0.409 0.000 0.818

***

Entry 8:
Below is an optimized crystal structure of PrDySi2Pd2, with properties calculated at the PBE-GGA level.

* SG: P-3m1, No. 164
* total DFT energy (no corrections): -36.07 eV/cell
* raw formation energy: -0.91 eV/atom

abc: 4.225 4.225 8.124
angles: 90.00 90.00 120.00
Sites, in units of the cell vectors:
1 Pr 0.000 0.000 0.000
2 Dy 0.000 0.000 0.500
3 Si 0.333 0.667 0.256
4 Si 0.667 0.333 0.744
5 Pd 0.333 0.667 0.730
6 Pd 0.667 0.333 0.270